This record from Alexandria via LeMat-Bulk describes crystalline KSrBi2 at its relaxed geometry. The functional is GGA-PBEsol.

Unit cell a=8.180 b=8.180 c=8.180 alpha=90.00 beta=90.00 gamma=90.00
Space group Fm-3m (No. 225)
Inequivalent atoms, fractional coordinates:
K (0.000, 0.000, 0.000) x4
Sr (0.000, 0.000, 0.500) x4
Bi (0.250, 0.250, 0.250) x8

Energy above the lowest structure with this stoichiometry, meV/atom: 0
Calculated total energy, eV per atom: -3.345
ρ, kg/m³: 6609
Spin magnetization, μB per formula unit: 0.0
DFT formation energy, kcal/mol of atoms: -10.6